Record 1
Density functional theory data (GGA-PBE) for Rb2Hg4Sb after structural relaxation.

Values from the calculation:
- Volume: 45.6 A^3/atom
- Energy relative to the elements, uncorrected: -1.0 eV per formula unit
- DFT total energy: -1.179 eV/atom
- Theoretical density: 5.7 g cm⁻³

abc: 5.817 5.817 18.847
angles: 90.00 90.00 90.00
Space group I4/mmm (No. 139)
Unique sites:
Rb1 0.000 0.000 0.131 [4 per cell]
Hg1 0.000 0.000 0.325 [4 per cell]
Hg2 0.000 0.500 0.000 [4 per cell]
Sb1 0.000 0.000 0.500 [2 per cell]

=====

Record 2
Density functional theory data (GGA-PBE) for Er6BiPb2Se3 after structural relaxation.

Values from the calculation:
- Volume: 27.1 A^3/atom
- Energy relative to the elements, uncorrected: -13.4 eV per formula unit
- DFT total energy: -5.212 eV/atom
- Theoretical density: 9.5 g cm⁻³

abc: 18.478 4.250 8.494
angles: 90.00 102.73 90.00
Space group C2/m (No. 12)
Unique sites:
Er1 0.001 0.000 0.239 [4 per cell]
Er2 0.165 0.500 0.089 [4 per cell]
Er3 0.171 0.500 0.580 [4 per cell]
Bi1 0.000 0.500 0.500 [2 per cell]
Pb1 0.167 0.000 0.833 [4 per cell]
Se1 0.000 0.500 0.000 [2 per cell]
Se2 0.165 0.000 0.334 [4 per cell]

=====

Record 3
Density functional theory data (GGA-PBE) for ScInPd after structural relaxation.

Values from the calculation:
- Volume: 19.4 A^3/atom
- DFT total energy: -5.388 eV/atom
- Theoretical density: 7.6 g cm⁻³
- ΔE_f: -0.634 eV per atom

abc: 3.487 3.487 9.585
angles: 90.00 90.00 90.00
Space group I4mm (No. 107)
Unique sites:
Sc1 0.000 0.000 0.000 [2 per cell]
In1 0.000 0.000 0.684 [2 per cell]
Pd1 0.000 0.000 0.342 [2 per cell]

=====

Record 4
Density functional theory data (GGA-PBE) for DyY4Pu3S8 after structural relaxation.

Values from the calculation:
- Volume: 21.4 A^3/atom
- Energy relative to the elements, uncorrected: -31.0 eV per formula unit
- DFT total energy: -8.594 eV/atom
- Theoretical density: 7.3 g cm⁻³

abc: 7.8426 7.8426 19.3276
angles: 90.00 90.00 120.00
Space group R-3m (No. 166, hexagonal axes)
Unique sites:
Dy1 0.0000 0.0000 0.0000 [3 per cell]
Y1 0.0000 0.0000 0.5000 [3 per cell]
Y2 0.0000 0.5000 0.5000 [9 per cell]
Pu1 0.0000 0.5000 0.0000 [9 per cell]
S1 0.0000 0.0000 0.2493 [6 per cell]
S2 0.0018 0.5009 0.7505 [18 per cell]

=====

Record 5
Density functional theory data (GGA-PBE) for Zn2Ga2Te after structural relaxation.

Values from the calculation:
- Volume: 20.6 A^3/atom
- Energy relative to the elements, uncorrected: 0.5 eV per formula unit
- DFT total energy: -2.239 eV/atom
- Excess energy over the best structure of this formula in the dataset: 0.048 eV per atom
- Theoretical density: 6.4 g cm⁻³

abc: 8.083 8.083 3.147
angles: 90.00 90.00 90.00
Space group P4/mbm (No. 127)
Unique sites:
Zn1 0.176 0.324 0.000 [4 per cell]
Ga1 0.124 0.624 0.500 [4 per cell]
Te1 0.000 0.000 0.500 [2 per cell]

=====

Record 6
Density functional theory data (GGA-PBE) for AgOsRh after structural relaxation.

Values from the calculation:
- Volume: 15.3 A^3/atom
- DFT total energy: -6.846 eV/atom
- Excess energy over the best structure of this formula in the dataset: 0.000 eV per atom
- Theoretical density: 14.5 g cm⁻³
- ΔE_f: 0.298 eV per atom

abc: 2.7508 2.7508 6.9876
angles: 90.00 90.00 120.00
Space group P3m1 (No. 156)
Unique sites:
Ag1 0.0000 0.0000 0.0000 [1 per cell]
Os1 0.6667 0.3333 0.3503 [1 per cell]
Rh1 0.3333 0.6667 0.6519 [1 per cell]

=====

Record 7
Density functional theory data (GGA-PBE) for P3PbAu after structural relaxation.

Values from the calculation:
- Volume: 23.7 A^3/atom
- DFT total energy: -3.786 eV/atom
- Excess energy over the best structure of this formula in the dataset: 0.000 eV per atom
- Theoretical density: 7.0 g cm⁻³
- ΔE_f: 0.857 eV per atom

abc: 4.909 4.909 4.909
angles: 90.00 90.00 90.00
Space group Pm-3m (No. 221)
Unique sites:
P1 0.000 0.000 0.500 [3 per cell]
Pb1 0.500 0.500 0.500 [1 per cell]
Au1 0.000 0.000 0.000 [1 per cell]

=====

Record 8
Density functional theory data (GGA-PBE) for NbFeS after structural relaxation.

Values from the calculation:
- Volume: 14.3 A^3/atom
- Energy relative to the elements, uncorrected: -0.9 eV per formula unit
- DFT total energy: -7.851 eV/atom
- Excess energy over the best structure of this formula in the dataset: 0.114 eV per atom
- Theoretical density: 7.0 g cm⁻³

abc: 3.1781 3.1781 14.7185
angles: 90.00 90.00 120.00
Space group R3m (No. 160, hexagonal axes)
Unique sites:
Nb1 0.0000 0.0000 0.0000 [3 per cell]
Fe1 0.0000 0.0000 0.1949 [3 per cell]
S1 0.0000 0.0000 0.7846 [3 per cell]